(1)
DFT (PBE) results for a geometry-optimized CaGe3Os2 structure.

abc: 5.7778 6.2072 6.2072
angles: 102.28 90.00 90.00
Fractional coordinates of all 12 atoms:
Os1 0.0000 0.7910 0.2090
Ge1 0.2500 0.9795 0.9795
Os2 0.0000 0.2090 0.7910
Ca1 0.7500 0.6426 0.6426
Ge2 0.2500 0.8810 0.5460
Os3 0.5000 0.2090 0.7910
Ca2 0.2500 0.3574 0.3574
Os4 0.5000 0.7910 0.2090
Ge3 0.7500 0.0205 0.0205
Ge4 0.7500 0.4540 0.1190
Ge5 0.7500 0.1190 0.4540
Ge6 0.2500 0.5460 0.8810

Computed properties:
- Uncorrected energy: -6.46 eV per atom
- SG: Cmcm (63)

(2)
DFT (PBE) results for a geometry-optimized Li8Mg4Cd structure.

abc: 3.1490 4.9123 17.1630
angles: 90.00 90.00 90.00
Fractional coordinates of all 13 atoms:
Mg1 0.5000 0.5000 0.4151
Li1 0.0000 0.0000 0.4866
Cd1 0.0000 0.0000 0.3289
Li2 0.5000 0.0000 0.1877
Mg2 0.0000 0.5000 0.5936
Li3 0.0000 0.5000 0.9230
Li4 0.5000 0.0000 0.6196
Li5 0.0000 0.0000 0.7440
Li6 0.5000 0.5000 0.0816
Mg3 0.5000 0.0000 0.8837
Li7 0.5000 0.5000 0.7572
Li8 0.0000 0.5000 0.2443
Mg4 0.0000 0.0000 0.0378

Computed properties:
- Uncorrected energy: -1.78 eV per atom
- SG: Pmm2 (25)

(3)
DFT (PBE) results for a geometry-optimized Li2Mn2Ag structure.

abc: 3.0720 3.0720 8.3727
angles: 79.43 79.43 90.00
Fractional coordinates of all 5 atoms:
Ag1 0.0000 0.0000 0.0000
Mn1 0.7500 0.2500 0.5000
Li1 0.6084 0.6084 0.7832
Li2 0.3916 0.3916 0.2168
Mn2 0.2500 0.7500 0.5000

Computed properties:
- Uncorrected energy: -4.64 eV per atom
- SG: I4/mmm (139)

(4)
DFT (PBE) results for a geometry-optimized KTcCl2 structure.

abc: 7.6523 7.6523 7.6523
angles: 151.37 152.29 40.27
Fractional coordinates of all 4 atoms:
K1 0.4563 0.4563 0.0000
Cl1 0.7798 0.2798 0.5000
Cl2 0.0641 0.0641 0.0000
Tc1 0.1998 0.6998 0.5000

Computed properties:
- Raw formation energy: -1.06 eV per formula unit
- SG: Imm2 (44)

(5)
DFT (PBE) results for a geometry-optimized Sc2GeP structure.

abc: 7.1113 7.1113 5.9384
angles: 53.22 53.22 90.00
Fractional coordinates of all 8 atoms:
Sc1 0.1415 0.6250 0.2500
Sc2 0.8750 0.8585 0.7500
Sc3 0.3750 0.3915 0.7500
P1 0.5000 0.5000 0.0000
Ge1 0.7500 0.2500 0.5000
Ge2 0.0000 0.0000 0.0000
Sc4 0.6085 0.1250 0.2500
P2 0.2500 0.7500 0.5000

Computed properties:
- Uncorrected energy: -6.39 eV per atom
- SG: I-42d (122)

(6)
DFT (PBE) results for a geometry-optimized BaTa structure.

abc: 4.8690 4.8690 9.3782
angles: 87.63 87.63 40.90
Fractional coordinates of all 4 atoms:
Ba1 0.7577 0.7577 0.6653
Ba2 0.9923 0.9923 0.0847
Ta1 0.5103 0.5103 0.4079
Ta2 0.2397 0.2397 0.3421

Computed properties:
- Uncorrected energy: -6.09 eV per atom
- SG: C2/m (12)

(7)
DFT (PBE) results for a geometry-optimized Pr6AgHg5 structure.

abc: 5.4369 9.4253 9.4253
angles: 119.92 106.76 106.76
Fractional coordinates of all 12 atoms:
Hg1 0.5000 0.8325 0.1675
Hg2 0.0000 0.3333 0.6667
Pr1 0.7520 0.5864 0.9173
Pr2 0.7520 0.9173 0.5864
Pr3 0.2535 0.7532 0.7532
Hg3 0.5000 0.5000 0.5000
Pr4 0.2480 0.0827 0.4136
Pr5 0.2480 0.4136 0.0827
Ag1 0.0000 0.0000 0.0000
Hg4 0.5000 0.1675 0.8325
Hg5 0.0000 0.6667 0.3333
Pr6 0.7465 0.2468 0.2468

Computed properties:
- Uncorrected energy: -3.19 eV per atom
- SG: Immm (71)

(8)
DFT (PBE) results for a geometry-optimized Tl2Cd2TcO6 structure.

abc: 5.7718 5.7718 6.5607
angles: 97.89 97.89 118.94
Fractional coordinates of all 11 atoms:
O1 0.9469 0.6651 0.3332
O2 0.6651 0.9469 0.3332
Tl1 0.1700 0.8300 0.0000
Cd1 0.3384 0.6616 0.5000
O3 0.0531 0.3349 0.6668
Cd2 0.6616 0.3384 0.5000
O4 0.3349 0.0531 0.6668
O5 0.7861 0.7861 0.6878
O6 0.2139 0.2139 0.3122
Tl2 0.8300 0.1700 0.0000
Tc1 0.0000 0.0000 0.5000

Computed properties:
- Raw formation energy: -10.66 eV per formula unit
- SG: C2/m (12)

Number 1: N(E_F) 0.5247 states/eV per atom. Number 2: N(E_F) 0.4054 states/eV per atom. Number 3: N(E_F) 0.8196 states/eV per atom. Number 4: N(E_F) 0.4408 states/eV per atom. Number 5: N(E_F) 0.3707 states/eV per atom. Number 6: N(E_F) 0.9073 states/eV per atom. Number 7: N(E_F) 1.0744 states/eV per atom. Number 8: N(E_F) 0.2782 states/eV per atom.